No. 1
# SmTmFe

SmTmFe after structural relaxation (GGA-PBE, OQMD).

Properties
**Calculated formation energy**: 0.218 eV/atom
**SG**: F-43m (216)
**Crystal system**: cubic
**Excess energy over the best structure of this formula in the dataset**: 0.00 kcal/mol of atoms

The structure in CIF format:
```
data_SmTmFe
_cell_length_a 4.685
_cell_length_b 4.685
_cell_length_c 4.685
_cell_angle_alpha 60.00
_cell_angle_beta 60.00
_cell_angle_gamma 60.00
_space_group_name_H-M_alt 'P 1'
_space_group_IT_number 1
loop_
_space_group_symop_operation_xyz
'x,y,z'
loop_
_atom_site_label
_atom_site_type_symbol
_atom_site_fract_x
_atom_site_fract_y
_atom_site_fract_z
_atom_site_occupancy
Sm1 Sm 0.000 0.000 0.000 1
Tm1 Tm 0.500 0.500 0.500 1
Fe1 Fe 0.250 0.250 0.250 1
```

---

No. 2
# SmUFe2

SmUFe2 after structural relaxation (GGA-PBE, OQMD).

Properties
**Calculated formation energy**: -0.138 eV/atom
**SG**: Pnma (62)
**Crystal system**: orthorhombic

The structure in CIF format:
```
data_SmUFe2
_cell_length_a 7.398
_cell_length_b 4.331
_cell_length_c 9.608
_cell_angle_alpha 90.00
_cell_angle_beta 90.00
_cell_angle_gamma 90.00
_space_group_name_H-M_alt 'P 1'
_space_group_IT_number 1
loop_
_space_group_symop_operation_xyz
'x,y,z'
loop_
_atom_site_label
_atom_site_type_symbol
_atom_site_fract_x
_atom_site_fract_y
_atom_site_fract_z
_atom_site_occupancy
Sm1 Sm 0.097 0.250 0.123 1
Sm2 Sm 0.403 0.750 0.623 1
Sm3 Sm 0.597 0.250 0.377 1
Sm4 Sm 0.903 0.750 0.877 1
U1 U 0.056 0.250 0.625 1
U2 U 0.444 0.750 0.125 1
U3 U 0.556 0.250 0.875 1
U4 U 0.944 0.750 0.375 1
Fe1 Fe 0.190 0.250 0.429 1
Fe2 Fe 0.200 0.250 0.815 1
Fe3 Fe 0.300 0.750 0.315 1
Fe4 Fe 0.310 0.750 0.929 1
Fe5 Fe 0.690 0.250 0.071 1
Fe6 Fe 0.700 0.250 0.685 1
Fe7 Fe 0.800 0.750 0.185 1
Fe8 Fe 0.810 0.750 0.571 1
```

---

No. 3
# SmFeW

SmFeW after structural relaxation (GGA-PBE, OQMD).

Properties
**Calculated formation energy**: 0.809 eV/atom
**SG**: F-43m (216)
**Crystal system**: cubic
**Excess energy over the best structure of this formula in the dataset**: 0.00 kcal/mol of atoms

The structure in CIF format:
```
data_SmFeW
_cell_length_a 4.399
_cell_length_b 4.399
_cell_length_c 4.399
_cell_angle_alpha 60.00
_cell_angle_beta 60.00
_cell_angle_gamma 60.00
_space_group_name_H-M_alt 'P 1'
_space_group_IT_number 1
loop_
_space_group_symop_operation_xyz
'x,y,z'
loop_
_atom_site_label
_atom_site_type_symbol
_atom_site_fract_x
_atom_site_fract_y
_atom_site_fract_z
_atom_site_occupancy
Sm1 Sm 0.000 0.000 0.000 1
Fe1 Fe 0.250 0.250 0.250 1
W1 W 0.500 0.500 0.500 1
```

---

No. 4
# SmFeW

SmFeW after structural relaxation (GGA-PBE, OQMD).

Properties
**Calculated formation energy**: 1.984 eV/atom
**SG**: F-43m (216)
**Crystal system**: cubic
**Excess energy over the best structure of this formula in the dataset**: 27.08 kcal/mol of atoms

The structure in CIF format:
```
data_SmFeW
_cell_length_a 4.557
_cell_length_b 4.557
_cell_length_c 4.557
_cell_angle_alpha 60.00
_cell_angle_beta 60.00
_cell_angle_gamma 60.00
_space_group_name_H-M_alt 'P 1'
_space_group_IT_number 1
loop_
_space_group_symop_operation_xyz
'x,y,z'
loop_
_atom_site_label
_atom_site_type_symbol
_atom_site_fract_x
_atom_site_fract_y
_atom_site_fract_z
_atom_site_occupancy
Sm1 Sm 0.000 0.000 0.000 1
Fe1 Fe 0.750 0.750 0.750 1
W1 W 0.250 0.250 0.250 1
```

---

No. 5
# SmZnFe

SmZnFe after structural relaxation (GGA-PBE, OQMD).

Properties
**Calculated formation energy**: 0.795 eV/atom
**SG**: F-43m (216)
**Crystal system**: cubic

The structure in CIF format:
```
data_SmZnFe
_cell_length_a 4.685
_cell_length_b 4.685
_cell_length_c 4.685
_cell_angle_alpha 60.00
_cell_angle_beta 60.00
_cell_angle_gamma 60.00
_space_group_name_H-M_alt 'P 1'
_space_group_IT_number 1
loop_
_space_group_symop_operation_xyz
'x,y,z'
loop_
_atom_site_label
_atom_site_type_symbol
_atom_site_fract_x
_atom_site_fract_y
_atom_site_fract_z
_atom_site_occupancy
Sm1 Sm 0.000 0.000 0.000 1
Zn1 Zn 0.250 0.250 0.250 1
Fe1 Fe 0.750 0.750 0.750 1
```

---

No. 6
# SmZnFe

SmZnFe after structural relaxation (GGA-PBE, OQMD).

Properties
**Calculated formation energy**: 0.304 eV/atom
**SG**: F-43m (216)
**Crystal system**: cubic

The structure in CIF format:
```
data_SmZnFe
_cell_length_a 4.464
_cell_length_b 4.464
_cell_length_c 4.464
_cell_angle_alpha 60.00
_cell_angle_beta 60.00
_cell_angle_gamma 60.00
_space_group_name_H-M_alt 'P 1'
_space_group_IT_number 1
loop_
_space_group_symop_operation_xyz
'x,y,z'
loop_
_atom_site_label
_atom_site_type_symbol
_atom_site_fract_x
_atom_site_fract_y
_atom_site_fract_z
_atom_site_occupancy
Sm1 Sm 0.000 0.000 0.000 1
Zn1 Zn 0.500 0.500 0.500 1
Fe1 Fe 0.250 0.250 0.250 1
```

---

No. 7
# Fe2Sn

Fe2Sn after structural relaxation (GGA-PBE, OQMD).

Properties
**E**: -6.600 eV/atom
**SG**: P-62m (189)
**Crystal system**: hexagonal

The structure in CIF format:
```
data_Fe2Sn
_cell_length_a 7.109
_cell_length_b 7.109
_cell_length_c 3.045
_cell_angle_alpha 90.00
_cell_angle_beta 90.00
_cell_angle_gamma 120.00
_space_group_name_H-M_alt 'P 1'
_space_group_IT_number 1
loop_
_space_group_symop_operation_xyz
'x,y,z'
loop_
_atom_site_label
_atom_site_type_symbol
_atom_site_fract_x
_atom_site_fract_y
_atom_site_fract_z
_atom_site_occupancy
Fe1 Fe 0.000 0.293 0.000 1
Fe2 Fe 0.000 0.625 0.500 1
Fe3 Fe 0.293 0.000 0.000 1
Fe4 Fe 0.375 0.375 0.500 1
Fe5 Fe 0.625 0.000 0.500 1
Fe6 Fe 0.707 0.707 0.000 1
Sn1 Sn 0.000 0.000 0.500 1
Sn2 Sn 0.333 0.667 0.000 1
Sn3 Sn 0.667 0.333 0.000 1
```

---

No. 8
# FeSn6

FeSn6 after structural relaxation (GGA-PBE, OQMD).

Properties
**E**: -4.432 eV/atom
**SG**: Cmcm (63)
**Crystal system**: orthorhombic

The structure in CIF format:
```
data_FeSn6
_cell_length_a 5.717
_cell_length_b 5.717
_cell_length_c 10.961
_cell_angle_alpha 90.00
_cell_angle_beta 90.00
_cell_angle_gamma 75.61
_space_group_name_H-M_alt 'P 1'
_space_group_IT_number 1
loop_
_space_group_symop_operation_xyz
'x,y,z'
loop_
_atom_site_label
_atom_site_type_symbol
_atom_site_fract_x
_atom_site_fract_y
_atom_site_fract_z
_atom_site_occupancy
Fe1 Fe 0.031 0.969 0.750 1
Fe2 Fe 0.969 0.031 0.250 1
Sn1 Sn 0.103 0.524 0.250 1
Sn2 Sn 0.176 0.176 0.000 1
Sn3 Sn 0.176 0.176 0.500 1
Sn4 Sn 0.360 0.640 0.611 1
Sn5 Sn 0.360 0.640 0.889 1
Sn6 Sn 0.476 0.897 0.250 1
Sn7 Sn 0.524 0.103 0.750 1
Sn8 Sn 0.640 0.360 0.111 1
Sn9 Sn 0.640 0.360 0.389 1
Sn10 Sn 0.824 0.824 0.000 1
Sn11 Sn 0.824 0.824 0.500 1
Sn12 Sn 0.897 0.476 0.750 1
```

---

No. 9
# Fe2Sn3

Fe2Sn3 after structural relaxation (GGA-PBE, OQMD).

Properties
**E**: -5.542 eV/atom
**SG**: R-3c (167)
**Crystal system**: trigonal

The structure in CIF format:
```
data_Fe2Sn3
_cell_length_a 6.833
_cell_length_b 6.833
_cell_length_c 6.833
_cell_angle_alpha 56.06
_cell_angle_beta 56.06
_cell_angle_gamma 56.06
_space_group_name_H-M_alt 'P 1'
_space_group_IT_number 1
loop_
_space_group_symop_operation_xyz
'x,y,z'
loop_
_atom_site_label
_atom_site_type_symbol
_atom_site_fract_x
_atom_site_fract_y
_atom_site_fract_z
_atom_site_occupancy
Fe1 Fe 0.181 0.181 0.181 1
Fe2 Fe 0.319 0.319 0.319 1
Fe3 Fe 0.681 0.681 0.681 1
Fe4 Fe 0.819 0.819 0.819 1
Sn1 Sn 0.119 0.750 0.381 1
Sn2 Sn 0.250 0.619 0.881 1
Sn3 Sn 0.381 0.119 0.750 1
Sn4 Sn 0.619 0.881 0.250 1
Sn5 Sn 0.750 0.381 0.119 1
Sn6 Sn 0.881 0.250 0.619 1
```

---

No. 10
# Fe2Sn

Fe2Sn after structural relaxation (GGA-PBE, OQMD).

Properties
**E**: -5.830 eV/atom
**SG**: P4_2/mnm (136)
**Crystal system**: tetragonal

The structure in CIF format:
```
data_Fe2Sn
_cell_length_a 5.207
_cell_length_b 5.207
_cell_length_c 4.326
_cell_angle_alpha 90.00
_cell_angle_beta 90.00
_cell_angle_gamma 90.00
_space_group_name_H-M_alt 'P 1'
_space_group_IT_number 1
loop_
_space_group_symop_operation_xyz
'x,y,z'
loop_
_atom_site_label
_atom_site_type_symbol
_atom_site_fract_x
_atom_site_fract_y
_atom_site_fract_z
_atom_site_occupancy
Fe1 Fe 0.162 0.162 0.000 1
Fe2 Fe 0.338 0.662 0.500 1
Fe3 Fe 0.662 0.338 0.500 1
Fe4 Fe 0.838 0.838 0.000 1
Sn1 Sn 0.000 0.000 0.500 1
Sn2 Sn 0.500 0.500 0.000 1
```

---

No. 11
# Fe6Sn23

Fe6Sn23 after structural relaxation (GGA-PBE, OQMD).

Properties
**E**: -4.837 eV/atom
**SG**: Fm-3m (225)
**Crystal system**: cubic

The structure in CIF format:
```
data_Fe6Sn23
_cell_length_a 9.679
_cell_length_b 9.679
_cell_length_c 9.679
_cell_angle_alpha 60.00
_cell_angle_beta 60.00
_cell_angle_gamma 60.00
_space_group_name_H-M_alt 'P 1'
_space_group_IT_number 1
loop_
_space_group_symop_operation_xyz
'x,y,z'
loop_
_atom_site_label
_atom_site_type_symbol
_atom_site_fract_x
_atom_site_fract_y
_atom_site_fract_z
_atom_site_occupancy
Fe1 Fe 0.242 0.242 0.758 1
Fe2 Fe 0.242 0.758 0.242 1
Fe3 Fe 0.242 0.758 0.758 1
Fe4 Fe 0.758 0.242 0.242 1
Fe5 Fe 0.758 0.242 0.758 1
Fe6 Fe 0.758 0.758 0.242 1
Sn1 Sn 0.113 0.113 0.113 1
Sn2 Sn 0.113 0.113 0.661 1
Sn3 Sn 0.113 0.661 0.113 1
Sn4 Sn 0.156 0.500 0.500 1
Sn5 Sn 0.156 0.500 0.844 1
Sn6 Sn 0.156 0.844 0.500 1
Sn7 Sn 0.250 0.250 0.250 1
Sn8 Sn 0.339 0.887 0.887 1
Sn9 Sn 0.500 0.156 0.500 1
Sn10 Sn 0.500 0.156 0.844 1
Sn11 Sn 0.500 0.500 0.156 1
Sn12 Sn 0.500 0.500 0.500 1
Sn13 Sn 0.500 0.500 0.844 1
Sn14 Sn 0.500 0.844 0.156 1
Sn15 Sn 0.500 0.844 0.500 1
Sn16 Sn 0.661 0.113 0.113 1
Sn17 Sn 0.750 0.750 0.750 1
Sn18 Sn 0.844 0.156 0.500 1
Sn19 Sn 0.844 0.500 0.156 1
Sn20 Sn 0.844 0.500 0.500 1
Sn21 Sn 0.887 0.339 0.887 1
Sn22 Sn 0.887 0.887 0.339 1
Sn23 Sn 0.887 0.887 0.887 1
```

---

No. 12
# Fe2Sn

Fe2Sn after structural relaxation (GGA-PBE, OQMD).

Properties
**E**: -6.586 eV/atom
**SG**: P-62m (189)
**Crystal system**: hexagonal

The structure in CIF format:
```
data_Fe2Sn
_cell_length_a 7.005
_cell_length_b 7.005
_cell_length_c 3.103
_cell_angle_alpha 90.00
_cell_angle_beta 90.00
_cell_angle_gamma 120.00
_space_group_name_H-M_alt 'P 1'
_space_group_IT_number 1
loop_
_space_group_symop_operation_xyz
'x,y,z'
loop_
_atom_site_label
_atom_site_type_symbol
_atom_site_fract_x
_atom_site_fract_y
_atom_site_fract_z
_atom_site_occupancy
Fe1 Fe 0.000 0.288 0.000 1
Fe2 Fe 0.000 0.622 0.500 1
Fe3 Fe 0.288 0.000 0.000 1
Fe4 Fe 0.378 0.378 0.500 1
Fe5 Fe 0.622 0.000 0.500 1
Fe6 Fe 0.712 0.712 0.000 1
Sn1 Sn 0.000 0.000 0.500 1
Sn2 Sn 0.333 0.667 0.000 1
Sn3 Sn 0.667 0.333 0.000 1
```